VASP calculation (PBE) on a geometry-optimized LuPdPt structure.

Summary:
final energy: -0.449 Ry per atom
Fermi-level density of states: 2.405 states/eV/cell
symmetry: No. 187
formation energy from the elements: -0.857 eV/atom
total magnetization: 0.0 μB/f.u.

Cell: 3.3997 4.4681 4.4681 Å, 120.00 90.00 90.00°
Sites, in units of the cell vectors:
Lu 0.6666 0.6667 0.3333
Pd 0.1673 0.0000 0.0000
Pt 0.1661 0.3333 0.6667